This record from the Alexandria database describes crystalline Ca2Nd8Sm3 at its relaxed geometry. The functional is PBE.

abc: 10.120 10.120 6.516
angles: 101.21 101.21 46.12
Positions (direct):
Ca1 0.151 0.151 0.273
Ca2 0.849 0.849 0.727
Nd1 0.048 0.048 0.710
Nd2 0.106 0.542 0.216
Nd3 0.327 0.327 0.717
Nd4 0.458 0.894 0.784
Nd5 0.542 0.106 0.216
Nd6 0.673 0.673 0.283
Nd7 0.894 0.458 0.784
Nd8 0.952 0.952 0.290
Sm1 0.298 0.702 0.000
Sm2 0.500 0.500 0.500
Sm3 0.702 0.298 0.000

Results
DOS at the Fermi energy   1.27 states/eV/atom
Space group   No. 12
Total DFT energy (no corrections)   -4.14 eV per atom
Total magnetic moment   0.00 Bohr magnetons per cell